VASP calculation (SCAN) on NaFeAs2Br at its PBEsol-relaxed geometry.

a b c (Å): 4.384 4.384 6.224
angles (deg): 90.00 90.00 90.00
Site moments in Bohr magnetons follow the coordinates.
Element x y z (fractional)
As  0.500  0.000  0.000  -0.09
As  0.000  0.500  0.000  -0.09
Br  0.000  0.000  0.500  0.05
Fe  0.000  0.000  0.000  1.97
Na  0.500  0.500  0.500  0.00

Calculated values
ρ = 4.3 g cm⁻³
Total energy = -16.641 eV/atom
Formation energy (no corrections) = -19.7 kJ/mol of atoms
DOS at the Fermi energy = 1.5 states/eV/f.u.